1.
## EuAgP (PBEsol)

Data for EuAgP after structural relaxation.

Properties
Formation energy ... -811 meV per atom
Calculated volume ... 20.91 A^3/atom
Fermi-level density of states ... 9.7 states/eV/f.u.
Space group ... P6_3/mmc, No. 194
Crystal system ... hexagonal

Cell: 4.310 4.310 7.798 Å, 90.00 90.00 120.00°
Atoms (fractional coordinates):
1 P 0.333 0.667 0.250
2 Eu 0.000 0.000 0.500
3 Eu 0.000 0.000 0.000
4 Ag 0.333 0.667 0.750
5 P 0.667 0.333 0.750
6 Ag 0.667 0.333 0.250

2.
## TcHgP2S (PBEsol)

Data for TcHgP2S after structural relaxation.

Properties
Calculated volume ... 19.53 A^3/atom
Fermi-level density of states ... 4.1 states/eV/f.u.
Space group ... P4/mmm, No. 123
E_form (uncorrected) ... 412.5 meV per atom
Crystal system ... tetragonal

Cell: 4.628 4.628 4.560 Å, 90.00 90.00 90.00°
Atoms (fractional coordinates):
1 S 0.000 0.000 0.500
2 P 0.000 0.500 0.000
3 P 0.500 0.000 0.000
4 Hg 0.500 0.500 0.500
5 Tc 0.000 0.000 0.000

3.
## ErZnO3 (PBEsol)

Data for ErZnO3 after structural relaxation.

Properties
Calculated volume ... 10.74 A^3/atom
Fermi-level density of states ... 1.4 states/eV/f.u.
Space group ... Pm-3m, No. 221
E_form (uncorrected) ... -1938.3 meV per atom
Crystal system ... cubic

Cell: 3.772 3.772 3.772 Å, 90.00 90.00 90.00°
Atoms (fractional coordinates):
1 Zn 0.500 0.500 0.500
2 O 0.500 0.500 0.000
3 O 0.000 0.500 0.500
4 Er 0.000 0.000 0.000
5 O 0.500 0.000 0.500

4.
## Ag2HgPt (PBEsol)

Data for Ag2HgPt after structural relaxation.

Properties
Formation energy ... 7 meV per atom
Calculated volume ... 16.87 A^3/atom
Fermi-level density of states ... 1.1 states/eV/f.u.
Space group ... Cmmm, No. 65
Crystal system ... orthorhombic

Cell: 2.885 5.027 5.027 Å, 112.18 90.00 90.00°
Atoms (fractional coordinates):
1 Ag 0.000 0.000 0.500
2 Ag 0.000 0.500 0.000
3 Pt 0.500 0.500 0.500
4 Hg 0.500 0.000 0.000

5.
## K2CaSb (PBEsol)

Data for K2CaSb after structural relaxation.

Properties
Calculated volume ... 45.38 A^3/atom
Fermi-level density of states ... 2.4 states/eV/f.u.
Space group ... P4mm, No. 99
E_form (uncorrected) ... -382.6 meV per atom
Crystal system ... tetragonal

Cell: 4.285 4.285 9.888 Å, 90.00 90.00 90.00°
Atoms (fractional coordinates):
1 Ca 0.500 0.500 0.655
2 K 0.000 0.000 0.947
3 Sb 0.000 0.000 0.577
4 K 0.500 0.500 0.321

6.
## Tl2NiMo (PBEsol)

Data for Tl2NiMo after structural relaxation.

Properties
Formation energy ... 588 meV per atom
ΔE to the lowest computed polymorph ... 0 meV per atom
Calculated volume ... 17.59 A^3/atom
Fermi-level density of states ... 2.0 states/eV/f.u.
Space group ... R-3m, No. 166
Crystal system ... trigonal

Cell: 3.062 3.062 8.848 Å, 80.04 80.04 60.00°
Atoms (fractional coordinates):
1 Ni 0.000 0.000 0.000
2 Mo 0.500 0.500 0.500
3 Tl 0.256 0.256 0.231
4 Tl 0.744 0.744 0.769

7.
## TaBTeI2 (PBEsol)

Data for TaBTeI2 after structural relaxation.

Properties
Calculated volume ... 31.90 A^3/atom
Fermi-level density of states ... 5.6 states/eV/f.u.
Space group ... P4/mmm, No. 123
E_form (uncorrected) ... 1205.8 meV per atom
Crystal system ... tetragonal

Cell: 5.333 5.469 5.469 Å, 90.00 90.00 90.00°
Atoms (fractional coordinates):
1 I 0.000 0.000 0.500
2 Te 0.500 0.000 0.000
3 Ta 0.000 0.000 0.000
4 B 0.500 0.500 0.500
5 I 0.000 0.500 0.000

8.
## TaIn2Pb (PBEsol)

Data for TaIn2Pb after structural relaxation.

Properties
Formation energy ... 723 meV per atom
Calculated volume ... 22.99 A^3/atom
Fermi-level density of states ... 4.1 states/eV/f.u.
Space group ... F-43m, No. 216
Crystal system ... cubic

Cell: 5.066 5.066 5.066 Å, 60.00 60.00 60.00°
Atoms (fractional coordinates):
1 Pb 0.500 0.500 0.500
2 In 0.250 0.250 0.250
3 In 0.000 0.000 0.000
4 Ta 0.750 0.750 0.750

9.
## Re2RhSe (PBEsol)

Data for Re2RhSe after structural relaxation.

Properties
Calculated volume ... 14.58 A^3/atom
Fermi-level density of states ... 3.4 states/eV/f.u.
Space group ... I-4m2, No. 119
E_form (uncorrected) ... 533.4 meV per atom
Crystal system ... tetragonal

Cell: 3.941 3.941 4.676 Å, 114.92 114.92 90.00°
Atoms (fractional coordinates):
1 Se 0.250 0.750 0.500
2 Re 0.000 0.000 0.000
3 Re 0.750 0.250 0.500
4 Rh 0.500 0.500 0.000

10.
## LaBeCo (PBEsol)

Data for LaBeCo after structural relaxation.

Properties
Formation energy ... -3 meV per atom
Calculated volume ... 17.41 A^3/atom
Fermi-level density of states ... 1.3 states/eV/f.u.
Space group ... P-6m2, No. 187
Crystal system ... hexagonal

Cell: 3.841 3.841 4.086 Å, 90.00 90.00 120.00°
Atoms (fractional coordinates):
1 Be 0.000 0.000 0.000
2 La 0.667 0.333 0.500
3 Co 0.333 0.667 0.000

11.
## BeReP (PBEsol)

Data for BeReP after structural relaxation.

Properties
Formation energy ... 121 meV per atom
ΔE to the lowest computed polymorph ... 588 meV per atom
Calculated volume ... 12.97 A^3/atom
Fermi-level density of states ... 1.8 states/eV/f.u.
Space group ... P3m1, No. 156
Crystal system ... trigonal

Cell: 2.981 3.882 3.882 Å, 120.00 90.00 90.00°
Atoms (fractional coordinates):
1 Re 0.499 0.667 0.333
2 Be 0.994 0.000 0.000
3 P 0.507 0.333 0.667

12.
## NaTlBAu2 (PBEsol)

Data for NaTlBAu2 after structural relaxation.

Properties
Formation energy ... 167 meV per atom
Calculated volume ... 19.02 A^3/atom
Fermi-level density of states ... 2.9 states/eV/f.u.
Space group ... P4/mmm, No. 123
Crystal system ... tetragonal

Cell: 4.316 4.316 5.106 Å, 90.00 90.00 90.00°
Atoms (fractional coordinates):
1 Na 0.000 0.000 0.500
2 Au 0.000 0.500 0.000
3 B 0.000 0.000 0.000
4 Au 0.500 0.000 0.000
5 Tl 0.500 0.500 0.500

13.
## Ba2AlIr (PBEsol)

Data for Ba2AlIr after structural relaxation.

Properties
Formation energy ... -333 meV per atom
Calculated volume ... 35.24 A^3/atom
Fermi-level density of states ... 3.3 states/eV/f.u.
Space group ... Cm, No. 8
Crystal system ... monoclinic

Cell: 4.332 4.342 8.982 Å, 103.56 90.00 119.92°
Atoms (fractional coordinates):
1 Ba 0.958 0.916 0.882
2 Al 0.208 0.416 0.625
3 Ba 0.792 0.585 0.367
4 Ir 0.541 0.083 0.626

14.
## Ge2PbSO (PBEsol)

Data for Ge2PbSO after structural relaxation.

Properties
Calculated volume ... 19.99 A^3/atom
Fermi-level density of states ... 2.4 states/eV/f.u.
Space group ... P4/mmm, No. 123
E_form (uncorrected) ... -35.1 meV per atom
Crystal system ... tetragonal

Cell: 4.320 4.320 5.354 Å, 90.00 90.00 90.00°
Atoms (fractional coordinates):
1 O 0.000 0.000 0.000
2 S 0.500 0.500 0.500
3 Ge 0.000 0.500 0.000
4 Ge 0.500 0.000 0.000
5 Pb 0.000 0.000 0.500

15.
## CrHSe2 (PBEsol)

Data for CrHSe2 after structural relaxation.

Properties
ΔE to the lowest computed polymorph ... 66 meV per atom
Calculated volume ... 18.08 A^3/atom
Space group ... R-3m, No. 166
Crystal system ... trigonal

Cell: 3.701 3.701 6.458 Å, 73.35 73.35 60.00°
Atoms (fractional coordinates):
1 Se 0.096 0.096 0.713
2 Se 0.904 0.904 0.287
3 H 0.000 0.000 0.000
4 Cr 0.500 0.500 0.500

16.
## BeSbTe2Pb (PBEsol)

Data for BeSbTe2Pb after structural relaxation.

Properties
Calculated volume ... 37.86 A^3/atom
Fermi-level density of states ... 6.6 states/eV/f.u.
Space group ... P4/mmm, No. 123
E_form (uncorrected) ... 1293.8 meV per atom
Crystal system ... tetragonal

Cell: 5.761 5.761 5.704 Å, 90.00 90.00 90.00°
Atoms (fractional coordinates):
1 Be 0.500 0.500 0.500
2 Sb 0.000 0.000 0.500
3 Te 0.000 0.500 0.000
4 Te 0.500 0.000 0.000
5 Pb 0.000 0.000 0.000

17.
## Ta2IrRu (PBEsol)

Data for Ta2IrRu after structural relaxation.

Properties
Formation energy ... 45 meV per atom
Calculated volume ... 16.01 A^3/atom
Fermi-level density of states ... 3.5 states/eV/f.u.
Space group ... R3m, No. 160
Crystal system ... trigonal

Cell: 2.902 2.902 8.941 Å, 80.66 80.66 60.00°
Atoms (fractional coordinates):
1 Ta 0.996 0.996 0.012
2 Ta 0.753 0.753 0.742
3 Ru 0.253 0.253 0.242
4 Ir 0.499 0.499 0.503

18.
## Au4Cl (PBEsol)

Data for Au4Cl after structural relaxation.

Properties
ΔE to the lowest computed polymorph ... 0 meV per atom
Calculated volume ... 17.80 A^3/atom
Fermi-level density of states ... 1.7 states/eV/f.u.
Space group ... I4/m, No. 87
E_form (uncorrected) ... 210.0 meV per atom
Crystal system ... tetragonal

Cell: 2.950 5.687 5.687 Å, 86.14 74.97 74.97°
Atoms (fractional coordinates):
1 Cl 0.000 0.000 0.000
2 Au 0.812 0.579 0.798
3 Au 0.390 0.798 0.421
4 Au 0.188 0.421 0.202
5 Au 0.610 0.202 0.579

19.
## Ti5TlSe8 (PBEsol)

Data for Ti5TlSe8 after structural relaxation.

Properties
Calculated volume ... 20.22 A^3/atom
Fermi-level density of states ... 10.7 states/eV/f.u.
Space group ... C2/m, No. 12
E_form (uncorrected) ... -1140.0 meV per atom
Crystal system ... monoclinic

Cell: 3.495 9.040 9.400 Å, 103.82 100.71 90.00°
Atoms (fractional coordinates):
1 Se 0.414 0.685 0.828
2 Ti 0.209 0.851 0.418
3 Se 0.659 0.002 0.317
4 Se 0.743 0.663 0.486
5 Se 0.341 0.998 0.683
6 Se 0.927 0.318 0.854
7 Ti 0.848 0.502 0.696
8 Ti 0.152 0.498 0.304
9 Ti 0.500 0.500 0.000
10 Tl 0.000 0.000 0.000
11 Se 0.073 0.682 0.146
12 Se 0.257 0.337 0.514
13 Se 0.586 0.315 0.172
14 Ti 0.791 0.149 0.582

20.
## SrMoP2Cl (PBEsol)

Data for SrMoP2Cl after structural relaxation.

Properties
Calculated volume ... 29.60 A^3/atom
Fermi-level density of states ... 2.9 states/eV/f.u.
Space group ... P4/mmm, No. 123
E_form (uncorrected) ... 1326.8 meV per atom
Crystal system ... tetragonal

Cell: 5.161 5.356 5.356 Å, 90.00 90.00 90.00°
Atoms (fractional coordinates):
1 Cl 0.500 0.000 0.000
2 Mo 0.500 0.500 0.500
3 P 0.000 0.000 0.500
4 P 0.000 0.500 0.000
5 Sr 0.000 0.000 0.000